VASP calculation (PBE-GGA) on a relaxed KTcBr3 crystal.

Cell lengths 5.8035, 5.8035, 5.8035 Å; angles 90.00, 90.00, 90.00 degrees
Closest atoms and distances in Å follow each position.
Space group Pm-3m (No. 221)
One atom of each set of equivalent atoms:
K 0.0000 0.0000 0.0000 [1 per cell]  6 Br 2.90
Tc 0.5000 0.5000 0.5000 [1 per cell]  12 Br 4.10
Br 0.0000 0.0000 0.5000 [3 per cell]  2 K 2.90

Energy relative to the elements, uncorrected: 0.481 eV/atom
N(E_F): 0.50 states/eV/atom
Crystal system: cubic



VASP calculation (PBE-GGA) on a relaxed TbTmRhAu crystal.

Cell lengths 7.0068, 7.0068, 7.0068 Å; angles 90.00, 90.00, 90.00 degrees
Closest atoms and distances in Å follow each position.
Space group F-43m (No. 216)
One atom of each set of equivalent atoms:
Tb 0.0000 0.0000 0.0000 [4 per cell]  4 Au 3.03, 4 Rh 3.03
Tm 0.0000 0.0000 0.5000 [4 per cell]  4 Rh 3.03, 4 Au 3.03
Rh 0.2500 0.2500 0.2500 [4 per cell]  4 Tb 3.03, 4 Tm 3.03
Au 0.2500 0.2500 0.7500 [4 per cell]  4 Tb 3.03, 4 Tm 3.03

N(E_F): 0.83 states/eV/atom
ΔE_f: -0.8482 eV/atom
Crystal system: cubic



VASP calculation (PBE-GGA) on a relaxed Tb2Tl4Cd crystal.

Cell lengths 13.3967, 5.5979, 5.8876 Å; angles 90.00, 108.37, 90.00 degrees
Closest atoms and distances in Å follow each position.
Space group C2/m (No. 12)
One atom of each set of equivalent atoms:
Tb 0.1436 0.0000 0.0838 [4 per cell]  8 Tl 3.24-3.56
Tl 0.0000 0.0000 0.5000 [2 per cell]  2 Cd 2.80
Tl 0.0000 0.5000 0.0000 [2 per cell]  2 Cd 2.94
Tl 0.2495 0.5000 0.3408 [4 per cell]  4 Tl 3.19-3.37, 4 Tb 3.24-3.28
Cd 0.0000 0.5000 0.5000 [2 per cell]  4 Tl 2.80-2.94

N(E_F): 0.60 states/eV/atom
ΔE_f: -0.0016 eV/atom
Crystal system: monoclinic



VASP calculation (PBE-GGA) on a relaxed TbDy8Y2 crystal.

Cell lengths 16.5085, 6.6278, 6.6233 Å; angles 90.00, 100.20, 90.00 degrees
Closest atoms and distances in Å follow each position.
Space group C2/m (No. 12)
One atom of each set of equivalent atoms:
Tb 0.0000 0.0000 0.0000 [2 per cell]  4 Dy 3.30
Dy 0.0882 0.2623 0.4034 [8 per cell]  5 Dy 3.15-3.48, 1 Tb 3.30, 1 Y 3.44
Dy 0.0886 0.5000 0.9038 [4 per cell]  8 Dy 3.33-3.67, 1 Y 3.65, 2 Tb 3.72
Dy 0.2449 0.0000 0.3159 [4 per cell]  5 Dy 3.25-3.42, 4 Y 3.34-3.55
Y 0.2018 0.0000 0.8042 [4 per cell]  7 Dy 3.34-3.65

N(E_F): 1.60 states/eV/atom
ΔE_f: 0.1694 eV/atom
Crystal system: monoclinic



VASP calculation (PBE-GGA) on a relaxed Cs2USbSe5 crystal.

Cell lengths 4.4478, 19.9442, 16.0855 Å; angles 90.00, 90.00, 90.00 degrees
Closest atoms and distances in Å follow each position.
Space group Cmc2_1 (No. 36)
One atom of each set of equivalent atoms:
Cs 0.0000 0.1022 0.0000 [4 per cell]  6 Se 3.63-3.79
Cs 0.0000 0.1406 0.6528 [4 per cell]  7 Se 3.69-3.94
U 0.0000 0.2051 0.3750 [4 per cell]  4 Se 2.61-2.82
Sb 0.0000 0.4518 0.7801 [4 per cell]  2 Se 2.52-2.68
Se 0.0000 0.0693 0.3978 [4 per cell]  1 U 2.73, 2 Sb 2.95
Se 0.0000 0.2839 0.9816 [4 per cell]  2 U 2.82
Se 0.0000 0.3184 0.7594 [4 per cell]  1 Sb 2.68, 2 U 2.94
Se 0.0000 0.3316 0.3342 [4 per cell]  1 U 2.61
Se 0.0000 0.4941 0.6327 [4 per cell]  1 Sb 2.52

Energy relative to the elements, uncorrected: -0.922 eV/atom
N(E_F): 0.50 states/eV/atom
Crystal system: orthorhombic



VASP calculation (PBE-GGA) on a relaxed Cs2AlCd2 crystal.

Cell lengths 7.7284, 7.7284, 6.4596 Å; angles 90.00, 90.00, 90.00 degrees
Closest atoms and distances in Å follow each position.
Space group P4/mbm (No. 127)
One atom of each set of equivalent atoms:
Cs 0.1770 0.3230 0.0000 [4 per cell]  6 Cd 3.74-4.10, 5 Cs 3.87-4.03
Al 0.0000 0.0000 0.5000 [2 per cell]  4 Cd 2.94
Cd 0.1497 0.6497 0.5000 [4 per cell]  2 Al 2.94, 1 Cd 3.27

N(E_F): 0.42 states/eV/atom
ΔE_f: 0.1656 eV/atom
Crystal system: tetragonal



VASP calculation (PBE-GGA) on a relaxed Ce2ThAg2Hg2 crystal.

Cell lengths 4.8938, 4.8938, 24.7655 Å; angles 90.00, 90.00, 120.00 degrees
Closest atoms and distances in Å follow each position.
Space group R-3m (No. 166, hexagonal axes)
One atom of each set of equivalent atoms:
Ce 0.0000 0.0000 0.1409 [6 per cell]  3 Ce 3.10, 3 Ag 3.11, 4 Hg 3.22-3.43
Th 0.0000 0.0000 0.0000 [3 per cell]  6 Hg 3.22, 2 Ce 3.49, 6 Ag 3.57
Ag 0.0000 0.0000 0.4214 [6 per cell]  3 Hg 2.89, 3 Ce 3.11
Hg 0.0000 0.0000 0.2707 [6 per cell]  3 Ag 2.89, 1 Ce 3.22, 3 Th 3.22

N(E_F): 1.61 states/eV/atom
ΔE_f: -0.1337 eV/atom
Crystal system: trigonal



VASP calculation (PBE-GGA) on a relaxed NaHf2IrI crystal.

Cell lengths 5.2389, 5.2389, 4.9538 Å; angles 90.00, 90.00, 90.00 degrees
Closest atoms and distances in Å follow each position.
Space group P4/mmm (No. 123)
One atom of each set of equivalent atoms:
Na 0.0000 0.0000 0.0000 [1 per cell]  8 Hf 3.61, 4 Ir 3.70
Hf 0.0000 0.5000 0.5000 [2 per cell]  2 I 2.62
Ir 0.5000 0.5000 0.0000 [1 per cell]  2 I 2.48
I 0.5000 0.5000 0.5000 [1 per cell]  2 Ir 2.48, 4 Hf 2.62

Energy relative to the elements, uncorrected: 1.250 eV/atom
N(E_F): 1.12 states/eV/atom
Crystal system: tetragonal



VASP calculation (PBE-GGA) on a relaxed CoReAu2 crystal.

Cell lengths 2.7369, 2.7369, 8.2423 Å; angles 90.00, 90.00, 90.00 degrees
Closest atoms and distances in Å follow each position.
Space group P4/mmm (No. 123)
One atom of each set of equivalent atoms:
Co 0.0000 0.0000 0.0000 [1 per cell]  4 Co 2.74, 8 Au 2.76
Re 0.0000 0.0000 0.5000 [1 per cell]  4 Re 2.74, 8 Au 2.90
Au 0.5000 0.5000 0.2385 [2 per cell]  4 Au 2.74, 4 Co 2.76, 4 Re 2.90

N(E_F): 0.76 states/eV/atom
ΔE_f: 0.4762 eV/atom
Crystal system: tetragonal



VASP calculation (PBE-GGA) on a relaxed La2BeFeAu crystal.

Cell lengths 5.1635, 5.1635, 4.2812 Å; angles 90.00, 90.00, 90.00 degrees
Closest atoms and distances in Å follow each position.
Space group P4/mmm (No. 123)
One atom of each set of equivalent atoms:
La 0.0000 0.5000 0.0000 [2 per cell]  2 Fe 2.58
Be 0.0000 0.0000 0.5000 [1 per cell]  2 Fe 2.14
Fe 0.0000 0.0000 0.0000 [1 per cell]  2 Be 2.14
Au 0.5000 0.5000 0.5000 [1 per cell]  8 La 3.35, 4 Be 3.65

N(E_F): 0.79 states/eV/atom
ΔE_f: -0.1508 eV/atom
Crystal system: tetragonal



VASP calculation (PBE-GGA) on a relaxed Pr3Nd7Sm crystal.

Cell lengths 7.2963, 7.2963, 8.8703 Å; angles 90.00, 90.00, 120.00 degrees
Closest atoms and distances in Å follow each position.
Space group P3m1 (No. 156)
One atom of each set of equivalent atoms:
Pr 0.0004 0.5002 0.0000 [3 per cell]  5 Nd 3.62-3.69, 4 Pr 3.64-3.65, 1 Sm 3.68
Nd 0.1670 0.3340 0.6668 [3 per cell]  1 Sm 3.58, 2 Pr 3.63, 8 Nd 3.64-3.66
Nd 0.3337 0.1668 0.3318 [3 per cell]  7 Nd 3.59-3.65, 2 Pr 3.62, 2 Sm 3.65
Nd 0.6667 0.3333 0.6591 [1 per cell]  9 Nd 3.59-3.65, 3 Pr 3.69
Sm 0.3333 0.6667 0.3400 [1 per cell]  9 Nd 3.58-3.65, 3 Pr 3.68

N(E_F): 1.52 states/eV/atom
ΔE_f: 0.1633 eV/atom
Crystal system: trigonal



VASP calculation (PBE-GGA) on a relaxed ErCdHg2 crystal.

Cell lengths 3.7407, 3.7407, 25.7792 Å; angles 90.00, 90.00, 120.00 degrees
Closest atoms and distances in Å follow each position.
Space group R3m (No. 160, hexagonal axes)
One atom of each set of equivalent atoms:
Er 0.0000 0.0000 0.0000 [3 per cell]  6 Hg 3.07
Cd 0.0000 0.0000 0.1669 [3 per cell]  6 Hg 3.02-3.03
Hg 0.0000 0.0000 0.4179 [3 per cell]  3 Cd 3.03, 3 Er 3.07
Hg 0.0000 0.0000 0.5821 [3 per cell]  3 Cd 3.02, 3 Er 3.07

N(E_F): 0.43 states/eV/atom
ΔE_f: -0.1895 eV/atom
Crystal system: trigonal



VASP calculation (PBE-GGA) on a relaxed Zr8Fe2Ir crystal.

Cell lengths 7.4823, 12.2124, 5.1647 Å; angles 90.00, 108.44, 90.00 degrees
Closest atoms and distances in Å follow each position.
Space group C2/m (No. 12)
One atom of each set of equivalent atoms:
Zr 0.0000 0.2290 0.0000 [4 per cell]  2 Fe 2.70, 1 Ir 2.80
Zr 0.1252 0.5000 0.8288 [4 per cell]  1 Ir 2.66, 1 Zr 2.96
Zr 0.2103 0.1232 0.5714 [8 per cell]  2 Fe 2.53-2.56
Fe 0.0000 0.2929 0.5000 [4 per cell]  6 Zr 2.53-2.70
Ir 0.0000 0.0000 0.0000 [2 per cell]  4 Zr 2.66-2.80

N(E_F): 1.07 states/eV/atom
ΔE_f: -0.1240 eV/atom
Crystal system: monoclinic



VASP calculation (PBE-GGA) on a relaxed La4PrHo2 crystal.

Cell lengths 6.5587, 24.6993, 6.9328 Å; angles 90.00, 118.15, 90.00 degrees
Closest atoms and distances in Å follow each position.
Space group Cc (No. 9)
One atom of each set of equivalent atoms:
La 0.0000 0.0183 0.0000 [4 per cell]  6 La 3.44-3.82, 2 Ho 3.61-3.66, 2 Pr 3.62-3.77
La 0.9998 0.4482 0.0361 [4 per cell]  5 La 3.44-3.82, 4 Ho 3.54-3.71, 1 Pr 3.71
La 0.0890 0.3020 0.2150 [4 per cell]  5 La 3.44-3.83, 4 Ho 3.54-3.72, 1 Pr 3.71
La 0.1266 0.2680 0.7518 [4 per cell]  6 La 3.44-3.83, 2 Ho 3.61-3.66, 2 Pr 3.63-3.78
Pr 0.0319 0.1248 0.6251 [4 per cell]  4 Ho 3.50-3.68, 8 La 3.62-3.85
Ho 0.0616 0.4073 0.5767 [4 per cell]  2 Pr 3.50-3.68, 6 La 3.54-3.71, 2 Ho 3.69-3.70
Ho 0.1106 0.1576 0.1738 [4 per cell]  2 Pr 3.50-3.68, 6 La 3.54-3.72, 2 Ho 3.69-3.70

N(E_F): 1.77 states/eV/atom
ΔE_f: 0.0694 eV/atom
Crystal system: monoclinic



VASP calculation (PBE-GGA) on a relaxed TaCu5Pd4 crystal.

Cell lengths 4.6207, 5.3847, 6.1242 Å; angles 76.82, 74.43, 75.50 degrees
Closest atoms and distances in Å follow each position.
Space group P-1 (No. 2)
One atom of each set of equivalent atoms:
Ta 0.0000 0.0000 0.0000 [1 per cell]  6 Pd 2.62-2.75, 6 Cu 2.69-2.77
Cu 0.0000 0.5000 0.0000 [1 per cell]  6 Cu 2.63-2.69, 2 Ta 2.69, 4 Pd 2.69-2.71
Cu 0.2104 0.7884 0.5997 [2 per cell]  7 Pd 2.66-2.73, 4 Cu 2.67-2.87, 1 Ta 2.77
Cu 0.4105 0.5955 0.1923 [2 per cell]  5 Cu 2.63-2.76, 6 Pd 2.66-2.77, 1 Ta 2.77
Pd 0.1879 0.2981 0.6093 [2 per cell]  1 Ta 2.62, 8 Cu 2.66-2.77, 3 Pd 2.75-2.80
Pd 0.3851 0.1036 0.2047 [2 per cell]  2 Ta 2.66-2.75, 7 Cu 2.66-2.73, 3 Pd 2.75-2.81

N(E_F): 0.49 states/eV/atom
ΔE_f: -0.1716 eV/atom
Crystal system: triclinic



VASP calculation (PBE-GGA) on a relaxed Sc4TlCd2Ga crystal.

Cell lengths 4.9574, 4.9574, 24.2786 Å; angles 90.00, 90.00, 120.00 degrees
Closest atoms and distances in Å follow each position.
Space group R-3m (No. 166, hexagonal axes)
One atom of each set of equivalent atoms:
Sc 0.0000 0.0000 0.1206 [6 per cell]  1 Ga 2.93, 4 Cd 2.99-3.12, 3 Tl 3.07
Sc 0.0000 0.0000 0.3712 [6 per cell]  4 Cd 2.97-3.08, 3 Ga 3.01, 1 Tl 3.13
Tl 0.0000 0.0000 0.5000 [3 per cell]  8 Sc 3.07-3.13
Cd 0.0000 0.0000 0.2490 [6 per cell]  8 Sc 2.97-3.12
Ga 0.0000 0.0000 0.0000 [3 per cell]  8 Sc 2.93-3.01

N(E_F): 0.95 states/eV/atom
ΔE_f: -0.3632 eV/atom
Crystal system: trigonal



VASP calculation (PBE-GGA) on a relaxed NaAu5 crystal.

Cell lengths 4.0622, 12.8358, 4.1908 Å; angles 90.00, 90.00, 90.00 degrees
Closest atoms and distances in Å follow each position.
Space group Cmmm (No. 65)
One atom of each set of equivalent atoms:
Na 0.0000 0.0000 0.0000 [2 per cell]  12 Au 2.92-3.00
Au 0.0000 0.1673 0.5000 [4 per cell]  10 Au 2.92-3.00, 2 Na 3.00
Au 0.0000 0.3349 0.0000 [4 per cell]  10 Au 2.92-3.00, 2 Na 2.94
Au 0.0000 0.5000 0.5000 [2 per cell]  4 Na 2.92, 8 Au 2.96-2.98

N(E_F): 0.27 states/eV/atom
ΔE_f: -0.1259 eV/atom
Crystal system: orthorhombic



VASP calculation (PBE-GGA) on a relaxed Sc5In2CoRu2 crystal.

Cell lengths 10.9953, 10.9953, 3.2470 Å; angles 90.00, 90.00, 90.00 degrees
Closest atoms and distances in Å follow each position.
Space group P4/mbm (No. 127)
One atom of each set of equivalent atoms:
Sc 0.0000 0.5000 0.0000 [2 per cell]  4 Ru 2.66
Sc 0.0639 0.1919 0.0000 [8 per cell]  2 Ru 2.62, 2 Co 2.75
In 0.1762 0.6762 0.5000 [4 per cell]  1 Ru 2.93, 2 Sc 3.19, 2 In 3.25
Co 0.0000 0.0000 0.5000 [2 per cell]  8 Sc 2.75
Ru 0.1355 0.3645 0.5000 [4 per cell]  6 Sc 2.62-2.66, 1 In 2.93

N(E_F): 0.65 states/eV/atom
ΔE_f: -0.3482 eV/atom
Crystal system: tetragonal



VASP calculation (PBE-GGA) on a relaxed SmDyPu crystal.

Cell lengths 3.5472, 3.5472, 8.5756 Å; angles 90.00, 90.00, 120.00 degrees
Closest atoms and distances in Å follow each position.
Space group P3m1 (No. 156)
One atom of each set of equivalent atoms:
Sm 0.0000 0.0000 0.0000 [1 per cell]  3 Pu 3.51, 6 Sm 3.55, 3 Dy 3.57
Dy 0.3333 0.6667 0.6597 [1 per cell]  3 Pu 3.47, 6 Dy 3.55, 3 Sm 3.57
Pu 0.6667 0.3333 0.3328 [1 per cell]  3 Dy 3.47, 3 Sm 3.51, 6 Pu 3.55

N(E_F): 2.90 states/eV/atom
ΔE_f: 0.1334 eV/atom
Crystal system: trigonal



VASP calculation (PBE-GGA) on a relaxed KMg2Hg10 crystal.

Cell lengths 6.3169, 13.9947, 15.6645 Å; angles 90.00, 90.00, 90.00 degrees
Closest atoms and distances in Å follow each position.
Space group Fmmm (No. 69)
One atom of each set of equivalent atoms:
K 0.0000 0.0000 0.0000 [4 per cell]  16 Hg 3.59-3.98
Mg 0.2500 0.0000 0.2500 [8 per cell]  8 Hg 3.04, 2 Mg 3.16
Hg 0.0000 0.1117 0.3821 [16 per cell]  2 Mg 3.04, 7 Hg 3.11-3.37
Hg 0.0000 0.1658 0.1746 [16 per cell]  2 Mg 3.04, 7 Hg 3.24-3.37
Hg 0.2500 0.2500 0.0000 [8 per cell]  10 Hg 3.11-3.37

N(E_F): 0.36 states/eV/atom
ΔE_f: -0.1079 eV/atom
Crystal system: orthorhombic



M_tot, record by record: 1.02; 0.00; 0.00; 0.00; 0.11; 0.00; 0.23; 0.00; 0.44; 0.00; 0.00; 0.00; 0.00; 0.00; 0.00; 0.00; 0.00; 0.03; 2.07; 0.00 μB per atom